1 | Compound: LuAlCdCo
Source: OQMD via LeMat-Bulk
Functional: PBE
Structure: relaxed

The structure belongs to space group F-43m (No. 216); the cell edges are 6.568, 6.568 and 6.568 Å and the angles 90.00°, 90.00° and 90.00°. The distinct sites, in fractional coordinates, are Lu at (0.000, 0.000, 0.000), Al at (0.000, 0.000, 0.500), Cd at (0.250, 0.250, 0.250) and Co at (0.250, 0.250, 0.750).

=====

2 | Compound: LuAlCdCo
Source: OQMD via LeMat-Bulk
Functional: PBE
Structure: relaxed

The structure belongs to space group F-43m (No. 216); the cell edges are 6.557, 6.557 and 6.557 Å and the angles 90.00°, 90.00° and 90.00°. The distinct sites, in fractional coordinates, are Lu at (0.000, 0.000, 0.000), Al at (0.250, 0.250, 0.250), Cd at (0.250, 0.250, 0.750) and Co at (0.000, 0.000, 0.500).

=====

It is 2 that is the least stable of them.